Entry 1:
A crystal of LaNiHg2 relaxed with PBEsol, computed with meta-GGA SCAN.

Calculated values
- DFT formation energy: -0.189 eV/atom

a b c (Å): 3.347 3.347 7.345
angles (deg): 90.00 90.00 90.00
Element x y z (fractional)
La1 0.000 0.000 0.000
Ni1 0.000 0.000 0.500
Hg1 0.500 0.500 0.306
Hg2 0.500 0.500 0.694


Entry 2:
A crystal of La2NiHg relaxed with PBEsol, computed with meta-GGA SCAN.

Calculated values
- DFT formation energy: -0.440 eV/atom

a b c (Å): 3.597 3.597 7.559
angles (deg): 90.00 90.00 90.00
Element x y z (fractional)
La1 0.000 0.000 0.214
La2 0.000 0.000 0.786
Ni1 0.500 0.500 0.000
Hg1 0.500 0.500 0.500


Computed values of DOS(E_F) (unit: states/eV/f.u.) for the preceding records, in sequence: 2.3; 3.4.
Computed values of calculated volume (unit: Å³/atom) for the preceding records, in sequence: 20.6; 24.4.